(1)
A plane-wave DFT calculation with PBE was carried out for a relaxed structure of Ba11NaPd5.

a b c (Å): 12.407 15.569 8.086
angles (deg): 90.00 107.92 90.00
Space group C2/m (No. 12)
Asymmetric unit:
Ba  0.000  0.000  0.000 [2 per cell]
Ba  0.092  0.228  0.817 [8 per cell]
Ba  0.165  0.500  0.879 [4 per cell]
Ba  0.186  0.371  0.417 [8 per cell]
Na  0.000  0.000  0.500 [2 per cell]
Pd  0.000  0.500  0.500 [2 per cell]
Pd  0.171  0.171  0.204 [8 per cell]

Calculated volume ... 43.7 A^3/atom
DOS(E_F) ... 19.9 states/eV/cell
Crystal system ... monoclinic

***

(2)
A plane-wave DFT calculation with PBE was carried out for a relaxed structure of AlCu.

a b c (Å): 6.069 6.069 6.069
angles (deg): 90.00 90.00 90.00
Space group Fd-3m (No. 227, origin choice 2)
Asymmetric unit:
Al  0.125  0.125  0.125 [8 per cell]
Cu  0.125  0.125  0.625 [8 per cell]

Calculated volume ... 14.0 A^3/atom
DOS(E_F) ... 5.7 states/eV/cell
Crystal system ... cubic

***

(3)
A plane-wave DFT calculation with PBE was carried out for a relaxed structure of Ce2Th2Se7.

a b c (Å): 9.451 10.401 7.106
angles (deg): 90.00 90.00 90.00
Space group Cmmm (No. 65)
Asymmetric unit:
Ce  0.234  0.000  0.000 [4 per cell]
Th  0.000  0.229  0.500 [4 per cell]
Se  0.000  0.000  0.256 [4 per cell]
Se  0.000  0.500  0.500 [2 per cell]
Se  0.250  0.250  0.239 [8 per cell]

Calculated volume ... 31.7 A^3/atom
DOS(E_F) ... 28.7 states/eV/cell
Distance to the lowest polymorph of the same formula ... 149 meV per atom
Energy relative to the elements, uncorrected ... -1619 meV per atom
Crystal system ... orthorhombic

***

(4)
A plane-wave DFT calculation with PBE was carried out for a relaxed structure of NaNdY.

a b c (Å): 7.188 9.903 5.718
angles (deg): 90.00 90.00 90.00
Space group Amm2 (No. 38)
Asymmetric unit:
Na  0.000  0.167  0.000 [4 per cell]
Nd  0.266  0.000  0.501 [4 per cell]
Y  0.500  0.167  0.002 [4 per cell]

Calculated volume ... 33.9 A^3/atom
DOS(E_F) ... 13.1 states/eV/cell
Distance to the lowest polymorph of the same formula ... 48 meV per atom
Crystal system ... orthorhombic

***

(5)
A plane-wave DFT calculation with PBE was carried out for a relaxed structure of InTcIO2.

a b c (Å): 4.152 4.152 6.078
angles (deg): 90.00 90.00 90.00
Space group P4/mmm (No. 123)
Asymmetric unit:
In  0.000  0.000  0.000 [1 per cell]
Tc  0.500  0.500  0.500 [1 per cell]
I  0.000  0.000  0.500 [1 per cell]
O  0.000  0.500  0.000 [2 per cell]

Calculated volume ... 21.0 A^3/atom
DOS(E_F) ... 3.3 states/eV/cell
Distance to the lowest polymorph of the same formula ... 622 meV per atom
Energy relative to the elements, uncorrected ... 309 meV per atom
Crystal system ... tetragonal

***

(6)
A plane-wave DFT calculation with PBE was carried out for a relaxed structure of BaSrBiPb2.

a b c (Å): 4.946 5.049 15.570
angles (deg): 90.00 90.00 90.00
Space group Imm2 (No. 44)
Asymmetric unit:
Ba  0.000  0.000  0.000 [2 per cell]
Sr  0.000  0.500  0.754 [2 per cell]
Bi  0.000  0.000  0.403 [2 per cell]
Pb  0.000  0.000  0.602 [2 per cell]
Pb  0.000  0.500  0.234 [2 per cell]

Calculated volume ... 38.9 A^3/atom
DOS(E_F) ... 5.4 states/eV/cell
Crystal system ... orthorhombic

***

(7)
A plane-wave DFT calculation with PBE was carried out for a relaxed structure of K3NpZn2O6.

a b c (Å): 6.1723 6.1723 7.0496
angles (deg): 90.00 90.00 120.00
Space group P-3m1 (No. 164)
Asymmetric unit:
K  0.0000  0.0000  0.0000 [1 per cell]
K  0.3333  0.6667  0.7306 [2 per cell]
Np  0.0000  0.0000  0.5000 [1 per cell]
Zn  0.3333  0.6667  0.2964 [2 per cell]
O  0.1580  0.3159  0.3099 [6 per cell]

Calculated volume ... 19.4 A^3/atom
DOS(E_F) ... 8.2 states/eV/cell
Energy relative to the elements, uncorrected ... -1843 meV per atom
Crystal system ... trigonal

***

(8)
A plane-wave DFT calculation with PBE was carried out for a relaxed structure of LuScNi.

a b c (Å): 6.412 6.412 6.412
angles (deg): 90.00 90.00 90.00
Space group F-43m (No. 216)
Asymmetric unit:
Lu  0.000  0.000  0.000 [4 per cell]
Sc  0.000  0.000  0.500 [4 per cell]
Ni  0.250  0.250  0.250 [4 per cell]

Calculated volume ... 22.0 A^3/atom
DOS(E_F) ... 13.8 states/eV/cell
Distance to the lowest polymorph of the same formula ... 101 meV per atom
Crystal system ... cubic

***

(9)
A plane-wave DFT calculation with PBE was carried out for a relaxed structure of Li4PrZn2.

a b c (Å): 3.978 17.599 4.127
angles (deg): 90.00 90.00 90.00
Space group Cmmm (No. 65)
Asymmetric unit:
Li  0.000  0.179  0.000 [4 per cell]
Li  0.000  0.316  0.500 [4 per cell]
Pr  0.000  0.500  0.000 [2 per cell]
Zn  0.000  0.079  0.500 [4 per cell]

Calculated volume ... 20.6 A^3/atom
DOS(E_F) ... 11.3 states/eV/cell
Crystal system ... orthorhombic

***

(10)
A plane-wave DFT calculation with PBE was carried out for a relaxed structure of KRb6Br8.

a b c (Å): 10.2746 10.2746 7.0343
angles (deg): 90.00 90.00 120.00
Space group P-3 (No. 147)
Asymmetric unit:
K  0.0000  0.0000  0.0000 [1 per cell]
Rb  0.9996  0.3695  0.2795 [6 per cell]
Br  0.9997  0.2900  0.7857 [6 per cell]
Br  0.3333  0.6667  0.4993 [2 per cell]

Calculated volume ... 42.9 A^3/atom
DOS(E_F) ... 24.3 states/eV/cell
Energy relative to the elements, uncorrected ... -1549 meV per atom
Crystal system ... trigonal

***

(11)
A plane-wave DFT calculation with PBE was carried out for a relaxed structure of PrScHgRh.

a b c (Å): 7.129 7.129 7.129
angles (deg): 90.00 90.00 90.00
Space group F-43m (No. 216)
Asymmetric unit:
Pr  0.000  0.000  0.000 [4 per cell]
Sc  0.000  0.000  0.500 [4 per cell]
Hg  0.250  0.250  0.750 [4 per cell]
Rh  0.250  0.250  0.250 [4 per cell]

Calculated volume ... 22.6 A^3/atom
DOS(E_F) ... 9.3 states/eV/cell
Crystal system ... cubic

***

(12)
A plane-wave DFT calculation with PBE was carried out for a relaxed structure of TlSn6Pd12.

a b c (Å): 12.1827 12.1827 8.2785
angles (deg): 90.00 90.00 120.00
Space group R-3 (No. 148, hexagonal axes)
Asymmetric unit:
Tl  0.0000  0.0000  0.0000 [3 per cell]
Sn  0.0485  0.2199  0.7307 [18 per cell]
Pd  0.0406  0.2413  0.0645 [18 per cell]
Pd  0.0594  0.2340  0.4100 [18 per cell]

Calculated volume ... 18.7 A^3/atom
DOS(E_F) ... 28.0 states/eV/cell
Crystal system ... trigonal

***

(13)
A plane-wave DFT calculation with PBE was carried out for a relaxed structure of Nd2Cu5Ni4.

a b c (Å): 4.993 8.682 15.927
angles (deg): 90.00 90.00 90.00
Space group Fmmm (No. 69)
Asymmetric unit:
Nd  0.000  0.000  0.136 [8 per cell]
Cu  0.000  0.000  0.500 [4 per cell]
Cu  0.250  0.250  0.000 [8 per cell]
Cu  0.250  0.250  0.250 [8 per cell]
Ni  0.000  0.163  0.373 [16 per cell]

Calculated volume ... 15.7 A^3/atom
DOS(E_F) ... 19.4 states/eV/cell
Crystal system ... orthorhombic

***

(14)
A plane-wave DFT calculation with PBE was carried out for a relaxed structure of PmHoAl.

a b c (Å): 4.922 13.584 4.916
angles (deg): 90.00 90.00 90.00
Space group Cmcm (No. 63)
Asymmetric unit:
Pm  0.000  0.100  0.250 [4 per cell]
Ho  0.000  0.396  0.250 [4 per cell]
Al  0.000  0.251  0.750 [4 per cell]

Calculated volume ... 27.4 A^3/atom
DOS(E_F) ... 9.2 states/eV/cell
Distance to the lowest polymorph of the same formula ... 8 meV per atom
Crystal system ... orthorhombic

***

(15)
A plane-wave DFT calculation with PBE was carried out for a relaxed structure of Pr5Nd4Tm.

a b c (Å): 3.696 3.696 25.875
angles (deg): 90.00 90.00 90.00
Space group P4/mmm (No. 123)
Asymmetric unit:
Pr  0.000  0.000  0.000 [1 per cell]
Pr  0.000  0.000  0.202 [2 per cell]
Pr  0.000  0.000  0.404 [2 per cell]
Nd  0.500  0.500  0.101 [2 per cell]
Nd  0.500  0.500  0.304 [2 per cell]
Tm  0.500  0.500  0.500 [1 per cell]

Calculated volume ... 35.3 A^3/atom
DOS(E_F) ... 15.4 states/eV/cell
Distance to the lowest polymorph of the same formula ... 3 meV per atom
Crystal system ... tetragonal

***

(16)
A plane-wave DFT calculation with PBE was carried out for a relaxed structure of RbNpTe2.

a b c (Å): 3.901 3.901 8.754
angles (deg): 90.00 90.00 90.00
Space group P4/mmm (No. 123)
Asymmetric unit:
Rb  0.000  0.000  0.000 [1 per cell]
Np  0.000  0.000  0.500 [1 per cell]
Te  0.500  0.500  0.297 [2 per cell]

Calculated volume ... 33.3 A^3/atom
DOS(E_F) ... 7.6 states/eV/cell
Energy relative to the elements, uncorrected ... -791 meV per atom
Crystal system ... tetragonal

***

(17)
A plane-wave DFT calculation with PBE was carried out for a relaxed structure of MgCd2Tc.

a b c (Å): 4.030 4.030 19.944
angles (deg): 90.00 90.00 90.00
Space group I-42d (No. 122)
Asymmetric unit:
Mg  0.000  0.000  0.000 [4 per cell]
Cd  0.240  0.250  0.625 [8 per cell]
Tc  0.000  0.000  0.500 [4 per cell]

Calculated volume ... 20.2 A^3/atom
DOS(E_F) ... 7.9 states/eV/cell
Crystal system ... tetragonal

***

(18)
A plane-wave DFT calculation with PBE was carried out for a relaxed structure of NaAgRuF6.

a b c (Å): 5.7468 5.7468 9.6473
angles (deg): 90.00 90.00 120.00
Space group P-31c (No. 163)
Asymmetric unit:
Na  0.3333  0.6667  0.2500 [2 per cell]
Ag  0.0000  0.0000  0.0000 [2 per cell]
Ru  0.3333  0.6667  0.7500 [2 per cell]
F  0.0472  0.3861  0.6363 [12 per cell]

Calculated volume ... 15.3 A^3/atom
DOS(E_F) ... 15.0 states/eV/cell
Energy relative to the elements, uncorrected ... -1848 meV per atom
Crystal system ... trigonal

***

(19)
A plane-wave DFT calculation with PBE was carried out for a relaxed structure of CoNi2Ge2.

a b c (Å): 6.745 6.745 2.761
angles (deg): 90.00 90.00 90.00
Space group P4/mbm (No. 127)
Asymmetric unit:
Co  0.000  0.000  0.000 [2 per cell]
Ni  0.129  0.371  0.000 [4 per cell]
Ge  0.173  0.673  0.500 [4 per cell]

Calculated volume ... 12.6 A^3/atom
DOS(E_F) ... 5.0 states/eV/cell
Distance to the lowest polymorph of the same formula ... 143 meV per atom
Crystal system ... tetragonal

***

(20)
A plane-wave DFT calculation with PBE was carried out for a relaxed structure of Pa3Ge4Pd4.

a b c (Å): 9.357 4.518 10.318
angles (deg): 90.00 90.00 90.00
Space group Amm2 (No. 38)
Asymmetric unit:
Pa  0.000  0.000  0.000 [2 per cell]
Pa  0.305  0.000  0.258 [4 per cell]
Ge  0.000  0.000  0.705 [2 per cell]
Ge  0.222  0.000  0.549 [4 per cell]
Ge  0.500  0.000  0.796 [2 per cell]
Pd  0.000  0.000  0.315 [2 per cell]
Pd  0.313  0.000  0.970 [4 per cell]
Pd  0.500  0.000  0.551 [2 per cell]

Calculated volume ... 19.8 A^3/atom
DOS(E_F) ... 21.7 states/eV/cell
Distance to the lowest polymorph of the same formula ... 161 meV per atom
Crystal system ... orthorhombic

***

(21)
A plane-wave DFT calculation with PBE was carried out for a relaxed structure of Pm2ZnCd5.

a b c (Å): 4.6720 4.6720 33.6775
angles (deg): 90.00 90.00 120.00
Space group R-3m (No. 166, hexagonal axes)
Asymmetric unit:
Pm  0.0000  0.0000  0.0894 [6 per cell]
Zn  0.0000  0.0000  0.0000 [3 per cell]
Cd  0.0000  0.0000  0.1949 [6 per cell]
Cd  0.0000  0.0000  0.3598 [6 per cell]
Cd  0.0000  0.0000  0.5000 [3 per cell]

Calculated volume ... 26.5 A^3/atom
DOS(E_F) ... 18.4 states/eV/cell
Distance to the lowest polymorph of the same formula ... 63 meV per atom
Crystal system ... trigonal

***

(22)
A plane-wave DFT calculation with PBE was carried out for a relaxed structure of DyPu2TcN4.

a b c (Å): 3.298 11.695 11.531
angles (deg): 90.00 90.00 90.00
Space group Cmcm (No. 63)
Asymmetric unit:
Dy  0.000  0.119  0.250 [4 per cell]
Pu  0.000  0.368  0.049 [8 per cell]
Tc  0.000  0.144  0.750 [4 per cell]
N  0.000  0.000  0.000 [4 per cell]
N  0.000  0.270  0.624 [8 per cell]
N  0.000  0.469  0.250 [4 per cell]

Calculated volume ... 13.9 A^3/atom
DOS(E_F) ... 36.8 states/eV/cell
Energy relative to the elements, uncorrected ... -979 meV per atom
Crystal system ... orthorhombic

***

(23)
A plane-wave DFT calculation with PBE was carried out for a relaxed structure of ErTm2Tc.

a b c (Å): 4.8274 4.8274 14.5031
angles (deg): 90.00 90.00 120.00
Space group R-3m (No. 166, hexagonal axes)
Asymmetric unit:
Er  0.0000  0.0000  0.0000 [3 per cell]
Tm  0.0000  0.0000  0.2282 [6 per cell]
Tc  0.0000  0.0000  0.5000 [3 per cell]

Calculated volume ... 24.4 A^3/atom
DOS(E_F) ... 11.5 states/eV/cell
Distance to the lowest polymorph of the same formula ... 288 meV per atom
Crystal system ... trigonal

***

For each record above, in turn, the calculated spin magnetization values are 0.000, 0.000, 4.004, 0.000, 4.799, 0.000, 2.006, 0.002, 0.566, 1.156, 0.000, 0.000, 0.000, 0.000, 0.001, 4.001, 0.000, 4.000, 0.000, 0.002, 0.000, 31.987, 0.000 Bohr magnetons per cell.
For each record above, in turn, the calculated total energy values are -3.17, -3.90, -6.26, -4.01, -4.61, -3.52, -5.89, -5.74, -2.25, -2.90, -5.17, -5.05, -4.99, -4.58, -4.73, -5.84, -2.86, -4.59, -5.57, -6.68, -2.02, -10.60, -5.83 eV per atom.